<A>
## Pm3Pr4Tm4 (GGA-PBE)

Data for a relaxed Pm3Pr4Tm4 crystal.

Values from the calculation:
The calculation puts the total magnetization at 0.0 μB/cell. Its density of states at the Fermi level is 1.333 states/eV/atom.

Structure (CIF):
```
data_Pm3Pr4Tm4
_cell_length_a 3.632
_cell_length_b 5.086
_cell_length_c 20.114
_cell_angle_alpha 82.76
_cell_angle_beta 84.88
_cell_angle_gamma 90.00
_symmetry_space_group_name_H-M 'P -1'
_symmetry_Int_Tables_number 2
_symmetry_space_group_name_Hall '-P 1'
loop_
_atom_site_label
_atom_site_type_symbol
_atom_site_fract_x
_atom_site_fract_y
_atom_site_fract_z
_atom_site_occupancy
Pm1 Pm 0.000 0.000 0.000 1
Pm2 Pm 0.362 0.364 0.274 1
Pr1 Pr 0.183 0.184 0.634 1
Pr2 Pr 0.454 0.455 0.093 1
Tm1 Tm 0.091 0.091 0.816 1
Tm2 Tm 0.272 0.272 0.457 1
```

<B>
## Pm3Pr4Tm4 (GGA-PBE)

Data for a relaxed Pm3Pr4Tm4 crystal.

Values from the calculation:
The calculation puts the total magnetization at 0.0 μB/cell. Its density of states at the Fermi level is 1.478 states/eV/atom.

Structure (CIF):
```
data_Pm3Pr4Tm4
_cell_length_a 10.809
_cell_length_b 5.742
_cell_length_c 12.084
_cell_angle_alpha 90.00
_cell_angle_beta 90.00
_cell_angle_gamma 90.00
_symmetry_space_group_name_H-M 'A m m 2'
_symmetry_Int_Tables_number 38
_symmetry_space_group_name_Hall 'A 2 -2'
loop_
_atom_site_label
_atom_site_type_symbol
_atom_site_fract_x
_atom_site_fract_y
_atom_site_fract_z
_atom_site_occupancy
Pm1 Pm 0.000 0.000 0.000 1
Pm2 Pm 0.287 0.000 0.161 1
Pr1 Pr 0.000 0.000 0.707 1
Pr2 Pr 0.212 0.000 0.500 1
Pr3 Pr 0.500 0.000 0.629 1
Tm1 Tm 0.000 0.000 0.303 1
Tm2 Tm 0.306 0.000 0.853 1
Tm3 Tm 0.500 0.000 0.355 1
```

Computed energies relative to the best structure, in eV/atom: <A> 0.000; <B> 0.139

<A>
## Pm8PrTm2 (GGA-PBE)

Data for a relaxed Pm8PrTm2 crystal.

Values from the calculation:
The calculation puts the total magnetization at 0.0 μB/cell. Its density of states at the Fermi level is 1.426 states/eV/atom.

Structure (CIF):
```
data_Pm8PrTm2
_cell_length_a 14.312
_cell_length_b 6.760
_cell_length_c 8.625
_cell_angle_alpha 90.00
_cell_angle_beta 114.19
_cell_angle_gamma 90.00
_symmetry_space_group_name_H-M 'C 1 2/m 1'
_symmetry_Int_Tables_number 12
_symmetry_space_group_name_Hall '-C 2y'
loop_
_atom_site_label
_atom_site_type_symbol
_atom_site_fract_x
_atom_site_fract_y
_atom_site_fract_z
_atom_site_occupancy
Pm1 Pm 0.091 0.241 0.385 1
Pm2 Pm 0.109 0.000 0.995 1
Pm3 Pm 0.239 0.000 0.773 1
Pr1 Pr 0.000 0.500 0.000 1
Tm1 Tm 0.145 0.500 0.758 1
```

<B>
## Pm8PrTm2 (GGA-PBE)

Data for a relaxed Pm8PrTm2 crystal.

Values from the calculation:
The calculation puts the total magnetization at 0.0 μB/cell. Its density of states at the Fermi level is 1.515 states/eV/atom.

Structure (CIF):
```
data_Pm8PrTm2
_cell_length_a 19.433
_cell_length_b 7.065
_cell_length_c 5.652
_cell_angle_alpha 90.00
_cell_angle_beta 93.21
_cell_angle_gamma 90.00
_symmetry_space_group_name_H-M 'C 1 2/m 1'
_symmetry_Int_Tables_number 12
_symmetry_space_group_name_Hall '-C 2y'
loop_
_atom_site_label
_atom_site_type_symbol
_atom_site_fract_x
_atom_site_fract_y
_atom_site_fract_z
_atom_site_occupancy
Pm1 Pm 0.045 0.000 0.238 1
Pm2 Pm 0.134 0.231 0.732 1
Pm3 Pm 0.189 0.500 0.232 1
Pr1 Pr 0.000 0.500 0.000 1
Tm1 Tm 0.215 0.000 0.253 1
```

Computed energies relative to the best structure, in eV/atom: <A> 0.075; <B> 0.000

<A>
## PmPr4Tm6 (GGA-PBE)

Data for a relaxed PmPr4Tm6 crystal.

Values from the calculation:
The calculation puts the total magnetization at 0.0 μB/cell. Its density of states at the Fermi level is 1.261 states/eV/atom.

Structure (CIF):
```
data_PmPr4Tm6
_cell_length_a 6.696
_cell_length_b 6.696
_cell_length_c 16.903
_cell_angle_alpha 90.00
_cell_angle_beta 90.00
_cell_angle_gamma 90.00
_symmetry_space_group_name_H-M 'I -4 2 m'
_symmetry_Int_Tables_number 121
_symmetry_space_group_name_Hall 'I -4 2'
loop_
_atom_site_label
_atom_site_type_symbol
_atom_site_fract_x
_atom_site_fract_y
_atom_site_fract_z
_atom_site_occupancy
Pm1 Pm 0.000 0.000 0.000 1
Pr1 Pr 0.191 0.191 0.824 1
Tm1 Tm 0.000 0.500 0.000 1
Tm2 Tm 0.177 0.177 0.622 1
```

<B>
## PmPr4Tm6 (GGA-PBE)

Data for a relaxed PmPr4Tm6 crystal.

Values from the calculation:
The calculation puts the total magnetization at 0.0 μB/cell. Its density of states at the Fermi level is 1.426 states/eV/atom.

Structure (CIF):
```
data_PmPr4Tm6
_cell_length_a 7.797
_cell_length_b 7.797
_cell_length_c 12.935
_cell_angle_alpha 90.00
_cell_angle_beta 90.00
_cell_angle_gamma 90.00
_symmetry_space_group_name_H-M 'I -4 2 m'
_symmetry_Int_Tables_number 121
_symmetry_space_group_name_Hall 'I -4 2'
loop_
_atom_site_label
_atom_site_type_symbol
_atom_site_fract_x
_atom_site_fract_y
_atom_site_fract_z
_atom_site_occupancy
Pm1 Pm 0.000 0.000 0.000 1
Pr1 Pr 0.176 0.176 0.424 1
Tm1 Tm 0.000 0.500 0.000 1
Tm2 Tm 0.247 0.247 0.682 1
```

Computed energies relative to the best structure, in eV/atom: <A> 0.000; <B> 0.170

<A>
## Pm6Pr12Tm (GGA-PBE)

Data for a relaxed Pm6Pr12Tm crystal.

Values from the calculation:
The calculation puts the total magnetization at 0.0 μB/cell. Its density of states at the Fermi level is 1.602 states/eV/atom.

Structure (CIF):
```
data_Pm6Pr12Tm
_cell_length_a 12.3548
_cell_length_b 12.3548
_cell_length_c 15.4687
_cell_angle_alpha 90.00
_cell_angle_beta 90.00
_cell_angle_gamma 120.00
_symmetry_space_group_name_H-M 'R -3'
_symmetry_Int_Tables_number 148
_symmetry_space_group_name_Hall '-R 3'
loop_
_atom_site_label
_atom_site_type_symbol
_atom_site_fract_x
_atom_site_fract_y
_atom_site_fract_z
_atom_site_occupancy
Pm1 Pm 0.0155 0.5900 0.1865 1
Pr1 Pr 0.0011 0.1722 0.6897 1
Pr2 Pr 0.0480 0.1976 0.9163 1
Tm1 Tm 0.0000 0.0000 0.5000 1
```

<B>
## Pm6Pr12Tm (GGA-PBE)

Data for a relaxed Pm6Pr12Tm crystal.

Values from the calculation:
The calculation puts the total magnetization at 0.0 μB/cell. Its density of states at the Fermi level is 1.381 states/eV/atom.

Structure (CIF):
```
data_Pm6Pr12Tm
_cell_length_a 13.4600
_cell_length_b 13.4600
_cell_length_c 13.2322
_cell_angle_alpha 90.00
_cell_angle_beta 90.00
_cell_angle_gamma 120.00
_symmetry_space_group_name_H-M 'R -3 m'
_symmetry_Int_Tables_number 166
_symmetry_space_group_name_Hall '-R 3 2"'
loop_
_atom_site_label
_atom_site_type_symbol
_atom_site_fract_x
_atom_site_fract_y
_atom_site_fract_z
_atom_site_occupancy
Pm1 Pm 0.0892 0.1784 0.2727 1
Pr1 Pr 0.0000 0.2621 0.5000 1
Pr2 Pr 0.0580 0.5290 0.6119 1
Tm1 Tm 0.0000 0.0000 0.5000 1
```

Computed energies relative to the best structure, in eV/atom: <A> 0.005; <B> 0.000

<A>
## PmPr6Tm4 (GGA-PBE)

Data for a relaxed PmPr6Tm4 crystal.

Values from the calculation:
The calculation puts the total magnetization at 0.0 μB/cell. Its density of states at the Fermi level is 1.419 states/eV/atom.

Structure (CIF):
```
data_PmPr6Tm4
_cell_length_a 11.1237
_cell_length_b 11.1237
_cell_length_c 3.5914
_cell_angle_alpha 90.00
_cell_angle_beta 90.00
_cell_angle_gamma 120.00
_symmetry_space_group_name_H-M 'P -6 m 2'
_symmetry_Int_Tables_number 187
_symmetry_space_group_name_Hall 'P -6 2'
loop_
_atom_site_label
_atom_site_type_symbol
_atom_site_fract_x
_atom_site_fract_y
_atom_site_fract_z
_atom_site_occupancy
Pm1 Pm 0.0000 0.0000 0.0000 1
Pr1 Pr 0.1827 0.3653 0.5000 1
Pr2 Pr 0.5255 0.0509 0.0000 1
Tm1 Tm 0.3199 0.1599 0.5000 1
Tm2 Tm 0.3333 0.6667 0.0000 1
```

<B>
## PmPr6Tm4 (GGA-PBE)

Data for a relaxed PmPr6Tm4 crystal.

Values from the calculation:
The calculation puts the total magnetization at 0.0 μB/cell. Its density of states at the Fermi level is 1.469 states/eV/atom.

Structure (CIF):
```
data_PmPr6Tm4
_cell_length_a 6.594
_cell_length_b 6.594
_cell_length_c 17.725
_cell_angle_alpha 90.00
_cell_angle_beta 90.00
_cell_angle_gamma 90.00
_symmetry_space_group_name_H-M 'I -4 2 m'
_symmetry_Int_Tables_number 121
_symmetry_space_group_name_Hall 'I -4 2'
loop_
_atom_site_label
_atom_site_type_symbol
_atom_site_fract_x
_atom_site_fract_y
_atom_site_fract_z
_atom_site_occupancy
Pm1 Pm 0.000 0.000 0.000 1
Pr1 Pr 0.000 0.500 0.000 1
Pr2 Pr 0.178 0.178 0.360 1
Tm1 Tm 0.183 0.183 0.172 1
```

Computed energies relative to the best structure, in eV/atom: <A> 0.000; <B> 0.140

<A>
## Pm2Pr2Tm3 (GGA-PBE)

Data for a relaxed Pm2Pr2Tm3 crystal.

Values from the calculation:
The calculation puts the total magnetization at 0.0 μB/cell. Its density of states at the Fermi level is 1.647 states/eV/atom.

Structure (CIF):
```
data_Pm2Pr2Tm3
_cell_length_a 6.395
_cell_length_b 11.531
_cell_length_c 6.423
_cell_angle_alpha 90.00
_cell_angle_beta 95.90
_cell_angle_gamma 90.00
_symmetry_space_group_name_H-M 'P 1 21/c 1'
_symmetry_Int_Tables_number 14
_symmetry_space_group_name_Hall '-P 2ybc'
loop_
_atom_site_label
_atom_site_type_symbol
_atom_site_fract_x
_atom_site_fract_y
_atom_site_fract_z
_atom_site_occupancy
Pm1 Pm 0.106 0.222 0.281 1
Pr1 Pr 0.459 0.651 0.539 1
Tm1 Tm 0.000 0.000 0.000 1
Tm2 Tm 0.256 0.540 0.041 1
```

<B>
## Pm2Pr2Tm3 (GGA-PBE)

Data for a relaxed Pm2Pr2Tm3 crystal.

Values from the calculation:
The calculation puts the total magnetization at 0.0 μB/cell. Its density of states at the Fermi level is 1.479 states/eV/atom.

Structure (CIF):
```
data_Pm2Pr2Tm3
_cell_length_a 11.355
_cell_length_b 5.095
_cell_length_c 8.058
_cell_angle_alpha 90.00
_cell_angle_beta 98.12
_cell_angle_gamma 90.00
_symmetry_space_group_name_H-M 'C 1 2/m 1'
_symmetry_Int_Tables_number 12
_symmetry_space_group_name_Hall '-C 2y'
loop_
_atom_site_label
_atom_site_type_symbol
_atom_site_fract_x
_atom_site_fract_y
_atom_site_fract_z
_atom_site_occupancy
Pm1 Pm 0.071 0.000 0.211 1
Pr1 Pr 0.213 0.000 0.645 1
Tm1 Tm 0.000 0.500 0.500 1
Tm2 Tm 0.143 0.500 0.928 1
```

Computed energies relative to the best structure, in eV/atom: <A> 0.160; <B> 0.000